No. 1
HoAl6S8 (PBE-GGA, optimized geometry); formation energy from raw total energies = -0.834 eV/atom
1.0
-4.184 5.135 -0.665
-4.799 -4.255 1.783
1.589 1.533 6.280
S Al Ho
8 6 1
Direct
0.625 0.912 0.208
0.912 0.208 0.625
0.375 0.088 0.792
0.208 0.625 0.912
0.792 0.375 0.088
0.737 0.737 0.737
0.263 0.263 0.263
0.088 0.792 0.375
0.612 0.248 0.340
0.388 0.752 0.660
0.660 0.388 0.752
0.752 0.660 0.388
0.340 0.612 0.248
0.248 0.340 0.612
0.000 0.000 0.000

=====

No. 2
SrLa3Ru (PBE-GGA, optimized geometry); formation enthalpy at 0 K = -0.1478 eV/atom; offset from the most stable computed form = 0.16 eV/f.u.
1.0
-6.105 -5.211 -0.216
-0.718 -1.697 -7.544
6.682 -1.826 4.033
La Ru Sr
6 2 2
Direct
0.662 0.514 0.739
0.992 0.007 0.646
0.992 0.008 0.146
0.507 0.018 0.658
0.173 0.519 0.243
0.663 0.514 0.229
0.826 0.263 0.941
0.852 0.738 0.191
0.159 0.506 0.729
0.497 0.018 0.153

=====

No. 3
K2In12AgPt3 (PBE-GGA, optimized geometry); formation enthalpy at 0 K = -0.1029 eV/atom
1.0
-3.601 7.021 3.666
-6.518 2.672 -5.108
-7.495 -2.426 3.694
In Pt K Ag
12 3 2 1
Direct
0.256 0.256 0.908
0.744 0.092 0.744
0.637 0.142 0.142
0.142 0.142 0.637
0.744 0.744 0.092
0.092 0.744 0.744
0.256 0.908 0.256
0.142 0.637 0.142
0.363 0.858 0.858
0.858 0.858 0.363
0.858 0.363 0.858
0.908 0.256 0.256
0.500 0.000 0.000
0.000 0.000 0.500
0.000 0.500 0.000
0.596 0.596 0.596
0.404 0.404 0.404
0.000 0.000 0.000